# 1
Here is a relaxed structure of AcSm6Tl5 from Alexandria via LeMat-Bulk. Energies are from PBE.

Cell and atoms, written as POSCAR:
```
AcSm6Tl5
1.0
-2.585 4.530 7.783
2.585 -4.530 7.783
2.585 4.530 -7.783
Ac Sm Tl
1 6 5
direct
0.000 0.000 0.000 Ac
0.099 0.828 0.271 Sm
0.282 0.500 0.782 Sm
0.442 0.172 0.271 Sm
0.558 0.828 0.729 Sm
0.718 0.500 0.218 Sm
0.901 0.172 0.729 Sm
0.152 0.652 0.500 Tl
0.315 0.315 0.000 Tl
0.500 0.000 0.500 Tl
0.685 0.685 0.000 Tl
0.848 0.348 0.500 Tl
```

Summary:
Calculated density in g cm⁻³: 9.80
Symmetry: No. 71
Calculated formation energy in meV/atom: -274

# 2
Here is a relaxed structure of TbBeAg3 from Alexandria via LeMat-Bulk. Energies are from PBE.

Cell and atoms, written as POSCAR:
```
TbBeAg3
1.0
4.580 0.000 0.000
0.000 4.580 0.000
0.000 0.000 4.580
Tb Be Ag
1 1 3
direct
0.000 0.000 0.000 Tb
0.500 0.500 0.500 Be
0.000 0.500 0.500 Ag
0.500 0.000 0.500 Ag
0.500 0.500 0.000 Ag
```

Summary:
Calculated density in g cm⁻³: 8.50
Symmetry: No. 221
Calculated formation energy in meV/atom: -5

# 3
Here is a relaxed structure of SmDy8Ho3 from Alexandria via LeMat-Bulk. Energies are from PBE.

Cell and atoms, written as POSCAR:
```
SmDy8Ho3
1.0
-3.216 5.603 5.671
3.216 -5.603 5.671
3.216 5.603 -5.671
Sm Dy Ho
1 8 3
direct
0.000 0.000 0.000 Sm
0.083 0.251 0.832 Dy
0.255 0.248 0.502 Dy
0.255 0.752 0.007 Dy
0.418 0.251 0.168 Dy
0.582 0.749 0.832 Dy
0.745 0.248 0.993 Dy
0.745 0.752 0.498 Dy
0.917 0.749 0.168 Dy
0.254 0.754 0.500 Ho
0.500 0.500 0.000 Ho
0.746 0.246 0.500 Ho
```

Summary:
Calculated density in g cm⁻³: 7.90
Symmetry: No. 71
Calculated formation energy in meV/atom: 330